No. 1
This record from Alexandria via LeMat-Bulk describes a relaxed structure of CsMgI2N. The functional is PBE.

Formation energy (no corrections) ... -384 meV per atom
Offset from the most stable computed form ... 0 meV per atom
ρ ... 4.17 Mg/m³

Cell lengths 6.2687, 6.2687, 4.3084 Å; angles 90.00, 90.00, 90.00 degrees
With the nearest neighbours (Å) after each atom.
Positions (direct):
Cs: 0.5000 0.5000 0.5000  8 I 3.80
I: 0.0000 0.5000 0.0000  2 Mg 3.13
I: 0.5000 0.0000 0.0000  2 Mg 3.13
Mg: 0.0000 0.0000 0.0000  2 N 2.15
N: 0.0000 0.0000 0.5000  2 Mg 2.15

No. 2
This record from Alexandria via LeMat-Bulk describes a relaxed structure of Pm4NiPd. The functional is PBE.

Offset from the most stable computed form ... 0 meV per atom
ρ ... 7.81 Mg/m³
ΔH_f (0 K) ... -0.334 eV per atom

Cell lengths 6.4367, 7.0167, 7.0167 Å; angles 90.00, 90.00, 90.00 degrees
With the nearest neighbours (Å) after each atom.
Positions (direct):
Pm: 0.0000 0.1863 0.6732  2 Ni 2.98, 2 Pd 3.09
Pm: 0.0000 0.8137 0.3268  2 Ni 2.98, 2 Pd 3.09
Pm: 0.0000 0.3268 0.1863  2 Ni 2.98, 2 Pd 3.09
Pm: 0.0000 0.6732 0.8137  2 Ni 2.98, 2 Pd 3.09
Pm: 0.5000 0.8137 0.6732  2 Ni 2.98, 2 Pd 3.09
Pm: 0.5000 0.1863 0.3268  2 Ni 2.98, 2 Pd 3.09
Pm: 0.5000 0.6732 0.1863  2 Ni 2.98, 2 Pd 3.09
Pm: 0.5000 0.3268 0.8137  2 Ni 2.98, 2 Pd 3.09
Ni: 0.2500 0.5000 0.5000  8 Pm 2.98, 2 Ni 3.22
Ni: 0.7500 0.5000 0.5000  8 Pm 2.98, 2 Ni 3.22
Pd: 0.2500 0.0000 0.0000  8 Pm 3.09, 2 Pd 3.22
Pd: 0.7500 0.0000 0.0000  8 Pm 3.09, 2 Pd 3.22

No. 3
This record from Alexandria via LeMat-Bulk describes a relaxed structure of TbNd3Y2Te6. The functional is PBE.

Formation energy (no corrections) ... -1370 meV per atom
ρ ... 6.89 Mg/m³

Cell lengths 4.3949, 8.9512, 9.9392 Å; angles 103.79, 102.77, 90.00 degrees
With the nearest neighbours (Å) after each atom.
Positions (direct):
Tb: 0.5000 0.0000 0.0000  6 Te 3.09
Nd: 0.5000 0.5000 0.0000  6 Te 3.18-3.19
Nd: 0.8337 0.1669 0.6675  6 Te 3.18-3.19
Nd: 0.1663 0.8331 0.3325  6 Te 3.18-3.19
Y: 0.8336 0.6673 0.6672  6 Te 3.08-3.09
Y: 0.1664 0.3327 0.3328  6 Te 3.08-3.09
Te: 0.3355 0.9103 0.6709  2 Y 3.09, 1 Tb 3.09, 3 Nd 3.18
Te: 0.6693 0.5769 0.3387  3 Y 3.09, 3 Nd 3.19
Te: 0.6645 0.0897 0.3291  2 Y 3.09, 1 Tb 3.09, 3 Nd 3.18
Te: 0.0026 0.2442 0.0052  1 Y 3.08, 2 Tb 3.09, 3 Nd 3.18
Te: 0.9974 0.7558 0.9948  1 Y 3.08, 2 Tb 3.09, 3 Nd 3.18
Te: 0.3307 0.4231 0.6613  3 Y 3.09, 3 Nd 3.19